[1]
Compound: VNi2PH
Source: the Alexandria database
Functional: GGA-PBE
Structure: optimized geometry

abc: 3.507 3.507 3.931
angles: 90.00 90.00 90.00
Element x y z (fractional)
V1 0.000 0.000 0.000
Ni1 0.000 0.500 0.500
Ni2 0.500 0.000 0.500
P1 0.500 0.500 0.000
H1 0.000 0.000 0.500

Summary:
Space-group type: P4/mmm, No. 123

***

[2]
Compound: LaEuAu2
Source: the Alexandria database
Functional: GGA-PBE
Structure: optimized geometry

abc: 3.777 3.777 7.501
angles: 90.00 90.00 90.00
Element x y z (fractional)
La1 0.000 0.000 0.000
Eu1 0.000 0.000 0.500
Au1 0.500 0.500 0.238
Au2 0.500 0.500 0.762

Summary:
Space-group type: P4/mmm, No. 123
Relative energy among the computed polymorphs: 6.2 meV/atom

***

The records above give, respectively, total DFT energy (no corrections) values of -0.22629 -0.22913 Ha/atom.